A relaxed K2CdIr crystal, computed with PBE.

Output
symmetry	C2/m (12)
crystal system	monoclinic

Cell: 10.119 10.119 4.385 Å, 102.31 102.31 18.74°
Sites, in units of the cell vectors:
K 0.142 0.142 0.141
K 0.858 0.858 0.859
Cd 0.000 0.000 0.500
Ir 0.500 0.500 0.000

---

A relaxed K2CdIr crystal, computed with PBE.

Output
symmetry	R-3m (166)
crystal system	trigonal

Cell: 11.900 11.900 11.900 Å, 15.00 15.00 15.00°
Sites, in units of the cell vectors:
K 0.240 0.240 0.240
K 0.760 0.760 0.760
Cd 0.000 0.000 0.000
Ir 0.500 0.500 0.500

---

A relaxed K3CdIr crystal, computed with PBE.

Output
symmetry	Pm-3m (221)
relative energy among the computed polymorphs	0.00	eV per formula unit
crystal system	cubic

Cell: 6.139 6.139 6.139 Å, 90.00 90.00 90.00°
Sites, in units of the cell vectors:
K 0.000 0.000 0.500
K 0.000 0.500 0.000
K 0.500 0.000 0.000
Cd 0.500 0.500 0.500
Ir 0.000 0.000 0.000

---

A relaxed K2CdIr crystal, computed with PBE.

Output
symmetry	I-42d (122)
crystal system	tetragonal

Cell: 11.839 11.839 11.839 Å, 159.41 159.41 29.28°
Sites, in units of the cell vectors:
K 0.118 0.625 0.993
K 0.375 0.368 0.493
K 0.632 0.125 0.007
K 0.875 0.882 0.507
Cd 0.250 0.750 0.500
Cd 0.500 0.500 0.000
Ir 0.000 0.000 0.000
Ir 0.750 0.250 0.500

---

A relaxed K2CdIr crystal, computed with PBE.

Output
symmetry	Pm (6)
crystal system	monoclinic

Cell: 2.938 5.156 7.093 Å, 90.00 98.49 90.00°
Sites, in units of the cell vectors:
K 0.000 0.000 0.000
K 0.240 0.500 0.658
Cd 0.592 0.500 0.234
Ir 0.647 0.000 0.424

---

A relaxed K2CdIr crystal, computed with PBE.

Output
symmetry	P4/mmm (123)
crystal system	tetragonal

Cell: 4.314 4.314 5.367 Å, 90.00 90.00 90.00°
Sites, in units of the cell vectors:
K 0.000 0.500 0.000
K 0.500 0.000 0.000
Cd 0.000 0.000 0.500
Ir 0.500 0.500 0.500

---

A relaxed K2CdIr crystal, computed with PBE.

Output
symmetry	P4/mmm (123)
crystal system	tetragonal

Cell: 3.041 3.041 11.277 Å, 90.00 90.00 90.00°
Sites, in units of the cell vectors:
K 0.000 0.000 0.215
K 0.000 0.000 0.785
Cd 0.500 0.500 0.500
Ir 0.500 0.500 0.000

---

A relaxed K2CdIr crystal, computed with PBE.

Output
symmetry	R3m (160)
crystal system	trigonal

Cell: 11.953 11.953 11.953 Å, 16.33 16.33 16.33°
Sites, in units of the cell vectors:
K 0.000 0.000 0.000
K 0.213 0.213 0.213
Cd 0.753 0.753 0.753
Ir 0.476 0.476 0.476

---

Summary of volume in A^3/atom
35.2, 24.6, 46.3, 25.6, 26.6, 25.0, 26.1, 29.4
(order as listed above)
Summary of raw total energy in Ry per atom
-0.1965, -0.1718, -0.1442, -0.1648, -0.1804, -0.1743, -0.1746, -0.1676
(order as listed above)